Density functional theory data (PBE+U) for crystalline Tb2FeO at its relaxed geometry.

Lattice parameters (Å, degrees): 3.376 3.376 26.224 90.00 90.00 120.00
Fractional coordinates of all 12 atoms:
Tb: 0.000 0.000 0.113
Tb: 0.000 0.000 0.887
Tb: 0.333 0.667 0.553
Tb: 0.333 0.667 0.780
Tb: 0.667 0.333 0.220
Tb: 0.667 0.333 0.447
Fe: 0.000 0.000 0.000
Fe: 0.333 0.667 0.667
Fe: 0.667 0.333 0.333
O: 0.000 0.000 0.500
O: 0.333 0.667 0.167
O: 0.667 0.333 0.833

Results
- Total DFT energy (no corrections): -5.766 eV per atom